# LiNb2Si (GGA-PBE, relaxed)
data_LiNb2Si
_chemical_formula_sum 'Li1 Nb2 Si1'
_cell_length_a 4.468
_cell_length_b 4.468
_cell_length_c 4.468
_cell_angle_alpha 60.00
_cell_angle_beta 60.00
_cell_angle_gamma 60.00
_space_group_name_H-M_alt 'P 1'
_space_group_IT_number 1
loop_
_space_group_symop_operation_xyz
'x,y,z'
loop_
_atom_site_label
_atom_site_fract_x
_atom_site_fract_y
_atom_site_fract_z
_atom_site_occupancy
Nb1 0.750 0.750 0.750 1
Nb2 0.000 0.000 0.000 1
Si1 0.500 0.500 0.500 1
Li1 0.250 0.250 0.250 1
# Total DFT energy (no corrections), eV/atom: -6.76
# Crystal system: cubic
# SG: F-43m